*P*
DFT (PBE-GGA) results for Zr3ZnPd after structural relaxation.

It has space group Pm-3m (No. 221), with a = 5.056 Å, b = 5.056 Å, c = 5.056 Å, α = 90.00°, β = 90.00° and γ = 90.00°. The distinct sites, in fractional coordinates, are Zr at (0.000, 0.000, 0.500), Zn at (0.500, 0.500, 0.500) and Pd at (0.000, 0.000, 0.000).

The density comes out at 5.72 Mg/m³.

*Q*
DFT (PBE-GGA) results for Zr3ZnPd after structural relaxation.

It has space group C2/c (No. 15), with a = 11.695 Å, b = 9.023 Å, c = 8.642 Å, α = 90.00°, β = 118.32° and γ = 90.00°. The distinct sites, in fractional coordinates, are Zr at (0.115, 0.155, 0.118), Zr at (0.154, 0.490, 0.082), Zr at (0.175, 0.158, 0.556), Zn at (0.000, 0.055, 0.750), Zn at (0.000, 0.372, 0.250) and Pd at (0.135, 0.309, 0.819).

The density comes out at 7.37 Mg/m³.

Tell me which of them is the most stable. Sure, it is *Q*.

*P*
DFT (PBE-GGA) results for Zr2Zn3Pd4 after structural relaxation.

It has space group Cmce (No. 64), with a = 5.360 Å, b = 14.770 Å, c = 7.630 Å, α = 90.00°, β = 90.00° and γ = 90.00°. The distinct sites, in fractional coordinates, are Zr at (0.000, 0.109, 0.083), Zn at (0.000, 0.000, 0.500), Zn at (0.250, 0.232, 0.750), Pd at (0.000, 0.177, 0.477) and Pd at (0.250, 0.058, 0.750).

The density comes out at 8.85 Mg/m³.

*Q*
DFT (PBE-GGA) results for Zr2Zn3Pd4 after structural relaxation.

It has space group C2/m (No. 12), with a = 8.798 Å, b = 4.085 Å, c = 8.544 Å, α = 90.00°, β = 107.19° and γ = 90.00°. The distinct sites, in fractional coordinates, are Zr at (0.181, 0.000, 0.225), Zn at (0.000, 0.500, 0.000), Zn at (0.150, 0.000, 0.559), Pd at (0.022, 0.500, 0.339) and Pd at (0.157, 0.000, 0.890).

The density comes out at 9.11 Mg/m³.

Tell me which of them is the most stable. Sure, it is *Q*.

*P*
DFT (PBE-GGA) results for ZrZn2Pd2 after structural relaxation.

It has space group C2/m (No. 12), with a = 8.783 Å, b = 4.094 Å, c = 6.223 Å, α = 90.00°, β = 133.80° and γ = 90.00°. The distinct sites, in fractional coordinates, are Zr at (0.000, 0.000, 0.000), Zn at (0.081, 0.500, 0.391) and Pd at (0.207, 0.000, 0.793).

The density comes out at 8.94 Mg/m³.

*Q*
DFT (PBE-GGA) results for ZrZn2Pd2 after structural relaxation.

It has space group P4/mbm (No. 127), with a = 7.492 Å, b = 7.492 Å, c = 2.876 Å, α = 90.00°, β = 90.00° and γ = 90.00°. The distinct sites, in fractional coordinates, are Zr at (0.000, 0.000, 0.000), Zn at (0.119, 0.381, 0.000) and Pd at (0.179, 0.679, 0.500).

The density comes out at 8.95 Mg/m³.

*R*
DFT (PBE-GGA) results for ZrZn2Pd2 after structural relaxation.

It has space group I4/mmm (No. 139), with a = 3.610 Å, b = 3.610 Å, c = 13.169 Å, α = 90.00°, β = 90.00° and γ = 90.00°. The distinct sites, in fractional coordinates, are Zr at (0.000, 0.000, 0.000), Zn at (0.000, 0.500, 0.250) and Pd at (0.000, 0.000, 0.398).

The density comes out at 8.42 Mg/m³.

Tell me which of them is the most stable. Sure, it is *P*.

*P*
DFT (PBE-GGA) results for Zr4ZnPd after structural relaxation.

It has space group I422 (No. 97), with a = 6.817 Å, b = 6.817 Å, c = 5.241 Å, α = 90.00°, β = 90.00° and γ = 90.00°. The distinct sites, in fractional coordinates, are Zr at (0.155, 0.345, 0.250), Zn at (0.000, 0.000, 0.000) and Pd at (0.000, 0.000, 0.500).

The density comes out at 7.32 Mg/m³.

*Q*
DFT (PBE-GGA) results for Zr4ZnPd after structural relaxation.

It has space group P4/mmm (No. 123), with a = 4.559 Å, b = 4.559 Å, c = 6.556 Å, α = 90.00°, β = 90.00° and γ = 90.00°. The distinct sites, in fractional coordinates, are Zr at (0.000, 0.500, 0.248), Zn at (0.000, 0.000, 0.000) and Pd at (0.500, 0.500, 0.500).

The density comes out at 6.54 Mg/m³.

Tell me which of them is the most stable. Sure, it is *P*.

*P*
DFT (PBE-GGA) results for Zr6ZnPd after structural relaxation.

It has space group P-1 (No. 2), with a = 5.492 Å, b = 5.493 Å, c = 5.502 Å, α = 89.78°, β = 89.96° and γ = 89.94°. The distinct sites, in fractional coordinates, are Zr at (0.000, 0.249, 0.498), Zr at (0.250, 0.000, 0.999), Zr at (0.498, 0.503, 0.750), Zn at (0.000, 0.500, 0.000) and Pd at (0.500, 0.000, 0.500).

The density comes out at 7.19 Mg/m³.

*Q*
DFT (PBE-GGA) results for Zr6ZnPd after structural relaxation.

It has space group I4/mmm (No. 139), with a = 4.533 Å, b = 4.533 Å, c = 16.413 Å, α = 90.00°, β = 90.00° and γ = 90.00°. The distinct sites, in fractional coordinates, are Zr at (0.000, 0.000, 0.250), Zr at (0.000, 0.500, 0.115), Zn at (0.000, 0.000, 0.000) and Pd at (0.000, 0.000, 0.500).

The density comes out at 7.08 Mg/m³.

Tell me which of them is the most stable. Sure, it is *Q*.

*P*
DFT (PBE-GGA) results for Zr5Pd after structural relaxation.

It has space group P4/mmm (No. 123), with a = 3.276 Å, b = 3.276 Å, c = 12.163 Å, α = 90.00°, β = 90.00° and γ = 90.00°. The distinct sites, in fractional coordinates, are Zr at (0.000, 0.000, 0.000), Zr at (0.000, 0.000, 0.355), Zr at (0.500, 0.500, 0.181) and Pd at (0.500, 0.500, 0.500).

The density comes out at 7.16 Mg/m³.

*Q*
DFT (PBE-GGA) results for Zr5Pd after structural relaxation.

It has space group Cmmm (No. 65), with a = 4.925 Å, b = 15.095 Å, c = 3.471 Å, α = 90.00°, β = 90.00° and γ = 90.00°. The distinct sites, in fractional coordinates, are Zr at (0.000, 0.000, 0.000), Zr at (0.000, 0.176, 0.500), Zr at (0.000, 0.348, 0.000) and Pd at (0.000, 0.500, 0.500).

The density comes out at 7.24 Mg/m³.

Tell me which of them is the most stable. Sure, it is *P*.

*P*
DFT (PBE-GGA) results for ZrPd6 after structural relaxation.

It has space group Im-3m (No. 229), with a = 6.925 Å, b = 6.925 Å, c = 6.925 Å, α = 90.00°, β = 90.00° and γ = 90.00°. The distinct sites, in fractional coordinates, are Zr at (0.000, 0.000, 0.000) and Pd at (0.000, 0.250, 0.500).

The density comes out at 7.30 Mg/m³.

*Q*
DFT (PBE-GGA) results for ZrPd6 after structural relaxation.

It has space group Pmmn (No. 59, origin choice 2), with a = 4.257 Å, b = 8.285 Å, c = 6.718 Å, α = 90.00°, β = 90.00° and γ = 90.00°. The distinct sites, in fractional coordinates, are Zr at (0.250, 0.250, 0.176), Pd at (0.250, 0.009, 0.859), Pd at (0.250, 0.250, 0.590), Pd at (0.250, 0.540, 0.397) and Pd at (0.250, 0.750, 0.096).

The density comes out at 10.23 Mg/m³.

Tell me which of them is the most stable. Sure, it is *Q*.

*P*
DFT (PBE-GGA) results for Pm after structural relaxation.

It has space group R-3m (No. 166, hexagonal axes), with a = 3.6685 Å, b = 3.6685 Å, c = 26.5795 Å, α = 90.00°, β = 90.00° and γ = 120.00°. The distinct sites, in fractional coordinates, are Pm at (0.0000, 0.0000, 0.0000) and Pm at (0.0000, 0.0000, 0.2230).

The density comes out at 7.00 Mg/m³.

*Q*
DFT (PBE-GGA) results for Pm after structural relaxation.

It has space group P6_3/mmc (No. 194), with a = 3.6671 Å, b = 3.6671 Å, c = 11.8051 Å, α = 90.00°, β = 90.00° and γ = 120.00°. The distinct sites, in fractional coordinates, are Pm at (0.0000, 0.0000, 0.0000) and Pm at (0.3333, 0.6667, 0.2500).

The density comes out at 7.01 Mg/m³.

Tell me which of them is the most stable. Sure, it is *Q*.